(1)
La4Dy8Th: optimized geometry, PBE.

POSCAR file:
```
La4Dy8Th
1.0
5.544 3.201 4.506
-5.544 3.201 4.506
0.000 -6.401 4.506
La Dy Th
4 8 1
Direct
0.000 0.000 0.000 La
0.000 0.500 0.500 La
0.500 0.000 0.500 La
0.500 0.500 0.000 La
0.240 0.240 0.758 Dy
0.240 0.758 0.240 Dy
0.241 0.241 0.241 Dy
0.242 0.760 0.760 Dy
0.758 0.240 0.240 Dy
0.759 0.759 0.759 Dy
0.760 0.242 0.760 Dy
0.760 0.760 0.242 Dy
0.500 0.500 0.500 Th
```

Results
Magnetic moment: 1.78 μB per formula unit
VASP energy: -4.395 eV/atom

(2)
LaDyTh6: optimized geometry, PBE.

POSCAR file:
```
LaDyTh6
1.0
5.050 0.000 0.000
0.000 5.071 5.064
0.000 -5.071 5.064
La Dy Th
1 1 6
Direct
0.000 0.000 0.000 La
0.500 0.745 0.745 Dy
0.000 0.001 0.496 Th
0.000 0.496 0.001 Th
0.000 0.498 0.498 Th
0.500 0.252 0.252 Th
0.500 0.252 0.745 Th
0.500 0.745 0.252 Th
```

Results
Magnetic moment: 0.00 μB per formula unit
VASP energy: -6.715 eV/atom

(3)
La2Dy7Th2: optimized geometry, PBE.

POSCAR file:
```
La2Dy7Th2
1.0
5.618 -5.773 0.000
5.618 5.773 0.000
-2.470 0.000 5.649
La Dy Th
2 7 2
Direct
0.216 0.784 0.000 La
0.784 0.216 0.000 La
0.000 0.000 0.500 Dy
0.068 0.591 0.337 Dy
0.249 0.249 0.079 Dy
0.409 0.932 0.663 Dy
0.591 0.068 0.337 Dy
0.751 0.751 0.921 Dy
0.932 0.409 0.663 Dy
0.405 0.405 0.685 Th
0.595 0.595 0.315 Th
```

Results
Magnetic moment: 0.00 μB per formula unit
VASP energy: -4.988 eV/atom

(4)
La2Dy12Th: optimized geometry, PBE.

POSCAR file:
```
La2Dy12Th
1.0
3.518 -5.730 0.000
3.518 5.730 0.000
0.000 0.000 24.852
La Dy Th
4 24 2
Direct
0.250 0.750 0.232 La
0.250 0.750 0.769 La
0.750 0.250 0.231 La
0.750 0.250 0.768 La
0.000 0.000 0.062 Dy
0.000 0.000 0.424 Dy
0.000 0.000 0.576 Dy
0.000 0.000 0.938 Dy
0.000 0.500 0.085 Dy
0.000 0.500 0.376 Dy
0.000 0.500 0.624 Dy
0.000 0.500 0.915 Dy
0.250 0.250 0.173 Dy
0.250 0.250 0.302 Dy
0.250 0.250 0.698 Dy
0.250 0.250 0.827 Dy
0.500 0.000 0.085 Dy
0.500 0.000 0.376 Dy
0.500 0.000 0.624 Dy
0.500 0.000 0.915 Dy
0.500 0.500 0.062 Dy
0.500 0.500 0.424 Dy
0.500 0.500 0.576 Dy
0.500 0.500 0.938 Dy
0.750 0.750 0.173 Dy
0.750 0.750 0.302 Dy
0.750 0.750 0.698 Dy
0.750 0.750 0.827 Dy
0.250 0.750 0.500 Th
0.750 0.250 0.500 Th
```

Results
Magnetic moment: 0.00 μB per formula unit
VASP energy: -4.664 eV/atom

(5)
La12Dy6Th: optimized geometry, PBE.

POSCAR file:
```
La12Dy6Th
1.0
8.014 4.627 2.990
-8.014 4.627 2.990
0.000 -9.254 2.990
La Dy Th
12 6 1
Direct
0.059 0.582 0.374 La
0.102 0.155 0.741 La
0.155 0.741 0.102 La
0.259 0.898 0.845 La
0.374 0.059 0.582 La
0.418 0.626 0.941 La
0.582 0.374 0.059 La
0.626 0.941 0.418 La
0.741 0.102 0.155 La
0.845 0.259 0.898 La
0.898 0.845 0.259 La
0.941 0.418 0.626 La
0.213 0.315 0.466 Dy
0.315 0.466 0.213 Dy
0.466 0.213 0.315 Dy
0.534 0.787 0.685 Dy
0.685 0.534 0.787 Dy
0.787 0.685 0.534 Dy
0.000 0.000 0.000 Th
```

Results
Magnetic moment: 0.00 μB per formula unit
VASP energy: -4.926 eV/atom

(6)
La2DyTh3: optimized geometry, PBE.

POSCAR file:
```
La2DyTh3
1.0
5.180 -5.764 0.000
5.180 5.764 0.000
0.000 0.000 6.792
La Dy Th
4 2 6
Direct
0.063 0.602 0.750 La
0.398 0.937 0.750 La
0.602 0.063 0.250 La
0.937 0.398 0.250 La
0.272 0.728 0.250 Dy
0.728 0.272 0.750 Dy
0.000 0.000 0.000 Th
0.000 0.000 0.500 Th
0.334 0.334 0.000 Th
0.334 0.334 0.500 Th
0.666 0.666 0.000 Th
0.666 0.666 0.500 Th
```

Results
Magnetic moment: 0.00 μB per formula unit
VASP energy: -5.928 eV/atom

(7)
La5Dy5Th2: optimized geometry, PBE.

POSCAR file:
```
La5Dy5Th2
1.0
6.249 0.000 0.000
-2.102 7.854 0.000
-0.039 -3.345 8.274
La Dy Th
5 5 2
Direct
0.000 0.000 0.000 La
0.081 0.739 0.581 La
0.254 0.263 0.756 La
0.746 0.737 0.244 La
0.919 0.261 0.419 La
0.335 0.995 0.330 Dy
0.415 0.747 0.917 Dy
0.500 0.500 0.500 Dy
0.585 0.253 0.083 Dy
0.665 0.005 0.670 Dy
0.163 0.503 0.162 Th
0.837 0.497 0.838 Th
```

Results
Magnetic moment: 0.00 μB per formula unit
VASP energy: -5.167 eV/atom

(8)
La5DyTh: optimized geometry, PBE.

POSCAR file:
```
La5DyTh
1.0
-2.975 4.525 6.143
2.975 -4.525 6.143
2.975 4.525 -6.143
La Dy Th
5 1 1
Direct
0.000 0.000 0.000 La
0.251 0.751 0.500 La
0.319 0.500 0.819 La
0.681 0.500 0.181 La
0.749 0.249 0.500 La
0.000 0.500 0.500 Dy
0.500 0.000 0.500 Th
```

Results
Magnetic moment: 0.00 μB per formula unit
VASP energy: -4.349 eV/atom

no.,energy of formation (eV per atom)
1,0.52
2,0.04
3,0.19
4,0.17
5,0.03
6,0.19
7,0.04
8,0.89